# SI2BrO

A crystal of SI2BrO relaxed with PBEsol (SCAN, Alexandria via LeMat-Bulk).

```
5
Lattice="3.7797 0.0000 0.0000 0.0000 5.7313 0.0000 0.0000 0.0000 5.7313" Properties=species:S:1:pos:R:3 pbc="T T T"
I 0.0000 2.8656 0.0000
I 0.0000 0.0000 2.8656
S 1.8898 2.8656 2.8656
Br 0.0000 0.0000 0.0000
O 1.8898 0.0000 0.0000
```

Properties
Raw total energy (eV/atom): -20.80
Energy relative to the elements, uncorrected (eV per atom): 0.96

# SeIBrO2

A crystal of SeIBrO2 relaxed with PBEsol (SCAN, Alexandria via LeMat-Bulk).

```
5
Lattice="-3.3738 -1.4813 -1.4638 2.0108 -1.5918 -3.0237 0.8570 -5.2427 3.3300" Properties=species:S:1:pos:R:3 pbc="T T T"
Br -0.2530 -4.1579 -0.5788
O -1.6869 -0.7406 -0.7319
O 1.0054 -0.7959 -1.5118
Se 0.0000 0.0000 0.0000
I 0.4285 -2.6213 1.6650
```

Properties
Raw total energy (eV/atom): -17.53
Energy relative to the elements, uncorrected (eV per atom): 0.22